[1]
Material: MgAl2Ge
Method: DFT, PBE
State: relaxed

```
MgAl2Ge
1.0
1.479 0.854 10.549
-1.479 0.854 10.549
0.000 -1.708 10.549
Mg Al Ge
1 2 1
Direct
0.000 0.000 0.000
0.093 0.093 0.093
0.907 0.907 0.907
0.500 0.500 0.500
```

---

[2]
Material: NdMg2AlGe2
Method: DFT, PBE
State: relaxed

```
NdMg2AlGe2
1.0
4.219 0.000 0.000
0.000 8.556 0.000
0.000 0.000 7.137
Nd Mg Al Ge
2 4 2 4
Direct
0.000 0.081 0.000
0.000 0.919 0.500
0.000 0.320 0.395
0.000 0.680 0.895
0.500 0.423 0.070
0.500 0.577 0.570
0.500 0.198 0.679
0.500 0.802 0.179
0.000 0.378 0.773
0.000 0.622 0.273
0.500 0.126 0.307
0.500 0.874 0.807
```

---

For the records above, the corresponding E_tot values read -3.200; -3.863 eV/atom.